No. 1
# CrCd3Re | Alexandria via LeMat-Bulk | PBE | optimized geometry
data_CrCd3Re
_symmetry_space_group_name_H-M 'P m -3 m'
_symmetry_Int_Tables_number 221
_symmetry_space_group_name_Hall '-P 4 2 3'
_cell_length_a 5.201
_cell_length_b 5.201
_cell_length_c 5.201
_cell_angle_alpha 90.00
_cell_angle_beta 90.00
_cell_angle_gamma 90.00
loop_
_atom_site_label
_atom_site_type_symbol
_atom_site_fract_x
_atom_site_fract_y
_atom_site_fract_z
Cr1 Cr 0.000 0.000 0.000
Cd1 Cd 0.000 0.500 0.500
Re1 Re 0.500 0.500 0.500
# Calculated total energy: -3.099 eV/atom
# DFT formation energy: 1865 meV/atom
# Energy above the most stable polymorph in this dataset: 133 meV per atom
# Total magnetization: 0.14 μB/atom



No. 2
# KSc2Os | Alexandria via LeMat-Bulk | PBE | optimized geometry
data_KSc2Os
_symmetry_space_group_name_H-M 'P m m 2'
_symmetry_Int_Tables_number 25
_cell_length_a 3.350
_cell_length_b 4.027
_cell_length_c 8.507
_cell_angle_alpha 90.00
_cell_angle_beta 90.00
_cell_angle_gamma 90.00
loop_
_symmetry_equiv_pos_as_xyz
'x,y,z'
'-x,-y,z'
'-x,y,z'
'x,-y,z'
loop_
_atom_site_label
_atom_site_type_symbol
_atom_site_fract_x
_atom_site_fract_y
_atom_site_fract_z
K1 K 0.000 0.000 0.000
Sc1 Sc 0.000 0.000 0.398
Sc2 Sc 0.500 0.500 0.619
Os1 Os 0.500 0.500 0.329
# Calculated total energy: -5.988 eV/atom
# DFT formation energy: 259 meV/atom
# Energy above the most stable polymorph in this dataset: 344 meV per atom
# Total magnetization: 0.00 μB/atom



No. 3
# CsPuUI6 | Alexandria via LeMat-Bulk | PBE | optimized geometry
data_CsPuUI6
_symmetry_space_group_name_H-M 'I m m a'
_symmetry_Int_Tables_number 74
_symmetry_space_group_name_Hall '-I 2b 2'
_cell_length_a 11.368
_cell_length_b 11.657
_cell_length_c 16.484
_cell_angle_alpha 90.00
_cell_angle_beta 90.00
_cell_angle_gamma 90.00
loop_
_atom_site_label
_atom_site_type_symbol
_atom_site_fract_x
_atom_site_fract_y
_atom_site_fract_z
Cs1 Cs 0.000 0.250 0.065
Pu1 Pu 0.250 0.250 0.750
U1 U 0.000 0.000 0.500
I1 I 0.000 0.250 0.429
I2 I 0.000 0.250 0.834
I3 I 0.204 0.046 0.624
# Calculated total energy: -4.952 eV/atom
# Total magnetization: 1.00 μB/atom
# E_form (uncorrected): -0.977 eV/atom